The following is a DFT calculation (PBE-GGA) of Li3DyIn2 after structural relaxation.

a b c (Å): 4.615 7.470 8.574
angles (deg): 69.72 74.39 72.01
Fractional positions:
Li (0.741, 0.089, 0.429)
Li (0.047, 0.291, 0.615)
Li (0.411, 0.490, 0.688)
Li (0.589, 0.510, 0.312)
Li (0.953, 0.709, 0.385)
Li (0.259, 0.911, 0.571)
Dy (0.134, 0.739, 0.992)
Dy (0.866, 0.261, 0.008)
In (0.563, 0.074, 0.801)
In (0.437, 0.926, 0.199)
In (0.210, 0.317, 0.264)
In (0.790, 0.683, 0.736)

Electronic total energy: -2.93 eV/atom
SG: C2/m
N(E_F): 6.36 states/eV/cell
ΔH_f (0 K): -0.297 eV per atom

The following is a DFT calculation (PBE-GGA) of Li4DyIn after structural relaxation.

a b c (Å): 5.503 5.503 5.503
angles (deg): 60.00 60.00 60.00
Fractional positions:
In (0.000, 0.000, 0.000)
Li (0.626, 0.626, 0.122)
Li (0.626, 0.122, 0.626)
Li (0.626, 0.626, 0.626)
Li (0.122, 0.626, 0.626)
Dy (0.250, 0.250, 0.250)

Electronic total energy: -2.64 eV/atom
SG: F-43m
N(E_F): 1.53 states/eV/cell
ΔH_f (0 K): -0.138 eV per atom

The following is a DFT calculation (PBE-GGA) of LiDyIn2 after structural relaxation.

a b c (Å): 3.539 3.539 7.327
angles (deg): 90.00 90.00 90.00
Last column: magnetic moment on the atom in μB.
Fractional positions:
In (0.000, 0.000, 0.788)  0.00
In (0.000, 0.000, 0.212)  0.00
Li (0.500, 0.500, 0.000)  0.00
Dy (0.500, 0.500, 0.500)  0.11

Electronic total energy: -3.39 eV/atom
Energy above the most stable polymorph in this dataset: 0 meV/atom
SG: P4/mmm
N(E_F): 1.89 states/eV/cell
ΔH_f (0 K): -0.394 eV per atom